The following is a DFT calculation (meta-GGA SCAN) of a PBEsol-optimized structure of LiY2SbPt.

Properties
Formation energy from raw total energies   -3.9 eV/f.u.
Magnetic moment   0.0 μB per cell

Lattice parameters (Å, degrees): 5.3013 5.3013 4.5829 90.00 90.00 90.00
Closest atoms and distances in Å follow each position.
Space group P4/mmm (No. 123)
One atom of each set of equivalent atoms:
Li1 0.0000 0.0000 0.0000  2 Pt 2.29
Y1 0.0000 0.5000 0.5000  2 Pt 2.65
Sb1 0.5000 0.5000 0.0000  8 Y 3.50, 4 Li 3.75
Pt1 0.0000 0.0000 0.5000  2 Li 2.29